An optimized crystal structure of Pm7Pd2Rh2. Source: the Alexandria database, functional PBE.

Cell and atoms, written as extended XYZ:
```
11
Lattice="3.9675 -5.5352 0.0000 3.9675 5.5352 0.0000 0.0000 0.0000 7.0472" Properties=species:S:1:pos:R:3 pbc="T T T"
Pm 0.0000 0.0000 0.0000
Pm 1.9837 2.7676 1.8716
Pm 1.9837 2.7676 5.1756
Pm 1.9837 -2.7676 1.8716
Pm 1.9837 -2.7676 5.1756
Pm 3.9675 0.0000 1.8182
Pm 3.9675 0.0000 5.2290
Pd 1.4733 0.0000 3.5236
Pd 6.4617 0.0000 3.5236
Rh 3.9675 2.3154 0.0000
Rh 3.9675 -2.3154 0.0000
```

Values from the calculation:
energy above the lowest structure with this stoichiometry: 0.147 eV per atom
space-group type: Cmmm, No. 65
size of the total moment: 0.00 μB per formula unit
formation energy from the elements: -421.1 meV/atom